First-principles (meta-GGA SCAN) data for a crystal of Cu2OsW relaxed with PBEsol, as listed in Alexandria. Values from VASP.

- Density: 15.525 Mg/m³
- DFT formation energy: 0.30 eV per atom

```
&SYSTEM
  ibrav = 0, nat = 4, ntyp = 3
/
ATOMIC_SPECIES
Cu 63.55 Cu.upf
Os 190.23 Os.upf
W 183.84 W.upf
ATOMIC_POSITIONS crystal
Cu 0.2520 0.2501 0.5041
Cu 0.7480 0.7499 0.4959
Os 0.0000 0.5000 0.0000
W 0.5000 0.0000 0.0000
CELL_PARAMETERS angstrom
2.6547 0.0000 0.0000
0.0000 4.6086 0.0062
-1.3273 -0.7734 4.3804
```

First-principles (meta-GGA SCAN) data for a crystal of Ta2AsOs relaxed with PBEsol, as listed in Alexandria. Values from VASP.

- Density: 16.013 Mg/m³
- DFT formation energy: 0.15 eV per atom

```
&SYSTEM
  ibrav = 0, nat = 4, ntyp = 3
/
ATOMIC_SPECIES
As 74.92 As.upf
Os 190.23 Os.upf
Ta 180.95 Ta.upf
ATOMIC_POSITIONS crystal
As 0.5049 0.5049 0.4853
Os 0.2466 0.2466 0.2601
Ta 0.9944 0.9944 0.0168
Ta 0.7541 0.7541 0.7377
CELL_PARAMETERS angstrom
2.9046 0.0000 0.0000
1.4523 2.5155 0.0000
1.4523 0.8385 8.8994
```

First-principles (meta-GGA SCAN) data for a crystal of BiOsCl3 relaxed with PBEsol, as listed in Alexandria. Values from VASP.

- Raw formation energy: 404 meV/atom
- Density: 8.008 Mg/m³

```
&SYSTEM
  ibrav = 0, nat = 5, ntyp = 3
/
ATOMIC_SPECIES
Os 190.23 Os.upf
Bi 208.98 Bi.upf
Cl 35.45 Cl.upf
ATOMIC_POSITIONS crystal
Os 0.0000 0.0000 0.0000
Bi 0.5000 0.5000 0.5000
Cl 0.0000 0.5000 0.0000
Cl 0.0000 0.0000 0.5000
Cl 0.5000 0.0000 0.0000
CELL_PARAMETERS angstrom
-0.9260 -4.2419 1.8394
4.0357 -1.6569 -1.7894
2.2561 1.2228 3.9559
```

First-principles (meta-GGA SCAN) data for a crystal of ThSb relaxed with PBEsol, as listed in Alexandria. Values from VASP.

- Raw formation energy: -904 meV/atom
- Density: 9.411 Mg/m³

```
&SYSTEM
  ibrav = 0, nat = 2, ntyp = 2
/
ATOMIC_SPECIES
Sb 121.76 Sb.upf
Th 232.04 Th.upf
ATOMIC_POSITIONS crystal
Sb 0.0000 0.0000 0.0000
Th 0.5000 0.5000 0.5000
CELL_PARAMETERS angstrom
-2.7116 -1.6080 3.1446
1.0272 -3.7894 2.1006
1.2464 0.0908 4.2738
```